Entry P
A plane-wave DFT calculation with PBE was carried out for Na5Sr5Ca after structural relaxation.

## Properties
Space group: C2/m (12)
Spin magnetization (μB per formula unit): 0.0

```
Na5Sr5Ca
1.0
6.254 0.000 0.000
-3.127 9.486 1.953
0.000 -1.741 8.435
Na Sr Ca
5 5 1
Cartesian
3.127 5.824 1.205 Na
3.127 4.858 5.405 Na
3.127 0.000 0.000 Na
0.000 2.887 4.982 Na
0.000 1.921 9.182 Na
3.127 2.071 2.712 Sr
3.127 1.232 6.756 Sr
0.000 -0.870 4.217 Sr
0.000 6.513 3.631 Sr
0.000 5.675 7.676 Sr
0.000 0.000 0.000 Ca
```

Entry Q
A plane-wave DFT calculation with PBE was carried out for Na5Sr5Ca after structural relaxation.

## Properties
Space group: P-6m2 (187)
Spin magnetization (μB per formula unit): 0.0

```
Na5Sr5Ca
1.0
6.807 0.000 0.000
-3.404 5.895 0.000
0.000 0.000 12.496
Na Sr Ca
5 5 1
Cartesian
1.759 1.016 6.248 Na
0.000 0.000 3.480 Na
3.404 3.864 6.248 Na
5.048 1.016 6.248 Na
0.000 0.000 9.015 Na
3.404 1.965 2.129 Sr
3.404 1.965 10.367 Sr
0.000 3.930 4.009 Sr
0.000 3.930 8.487 Sr
0.000 0.000 0.000 Sr
0.000 3.930 0.000 Ca
```

So which one is most stable? That would be entry Q, about 65 meV/atom below the next structure.

Entry P
A plane-wave DFT calculation with PBE was carried out for Na2Sr5Ca2 after structural relaxation.

## Properties
Space group: C2/m (12)
Spin magnetization (μB per formula unit): 0.0

```
Na2Sr5Ca2
1.0
-4.132 2.620 -4.206
-3.623 -10.365 2.052
0.621 8.706 4.812
Na Sr Ca
2 5 2
Cartesian
-3.234 -0.311 2.983 Na
-3.900 1.272 -0.325 Na
-4.916 -6.235 0.946 Sr
-2.218 7.196 1.712 Sr
-0.983 2.844 2.737 Sr
-6.151 -1.883 -0.079 Sr
0.000 0.000 0.000 Sr
-2.494 -3.131 0.499 Ca
-4.640 4.092 2.158 Ca
```

Entry Q
A plane-wave DFT calculation with PBE was carried out for Na2Sr5Ca2 after structural relaxation.

## Properties
Space group: Ima2 (46)
Spin magnetization (μB per formula unit): 0.0

```
Na2Sr5Ca2
1.0
-3.259 5.148 -8.745
-6.951 -0.451 2.325
6.256 7.461 8.556
Na Sr Ca
4 10 4
Cartesian
-6.053 -0.393 2.024 Na
-4.206 2.407 -3.511 Na
-2.589 5.579 2.118 Na
0.326 6.689 -0.548 Na
0.956 6.896 6.959 Sr
-6.566 5.155 -4.270 Sr
4.427 7.128 5.785 Sr
-3.086 5.374 -5.421 Sr
1.124 3.481 1.037 Sr
-3.280 8.794 0.497 Sr
-3.684 5.359 -1.375 Sr
1.527 6.916 2.909 Sr
-0.671 8.387 -3.450 Sr
-1.443 3.890 4.970 Sr
-2.756 1.841 0.692 Ca
0.614 10.435 0.838 Ca
-7.149 3.065 -0.608 Ca
-1.944 8.760 4.462 Ca
```

So which one is most stable? That would be entry P, about 56 meV/atom below the next structure.

Entry P
A plane-wave DFT calculation with PBE was carried out for Na3Sr4Ca after structural relaxation.

## Properties
Space group: Pmm2 (25)
Spin magnetization (μB per formula unit): 0.0

```
Na3Sr4Ca
1.0
-3.875 0.775 -1.111
-1.465 -5.892 1.001
-3.421 3.267 14.213
Na Sr Ca
3 4 1
Cartesian
-2.664 -1.102 8.526 Na
-1.497 1.429 6.218 Na
-5.125 3.431 12.686 Na
-3.801 -1.479 4.643 Sr
-3.553 -0.253 12.219 Sr
-0.605 0.578 2.514 Sr
-4.226 2.572 8.950 Sr
-2.895 -2.344 0.878 Ca
```

Entry Q
A plane-wave DFT calculation with PBE was carried out for Na3Sr4Ca after structural relaxation.

## Properties
Space group: Pmmm (47)
Spin magnetization (μB per formula unit): 0.0

```
Na3Sr4Ca
1.0
-2.193 0.650 -3.893
-4.193 -4.597 1.594
-7.467 8.777 5.673
Na Ca Sr
3 1 4
Cartesian
-2.924 2.474 -0.557 Na
-6.926 2.415 1.687 Na
-6.735 6.954 2.338 Na
-3.193 -1.973 -1.149 Ca
-3.733 4.389 2.836 Sr
-7.653 4.233 5.018 Sr
0.000 0.000 0.000 Sr
-4.007 -0.053 2.248 Sr
```

So which one is most stable? That would be entry Q, about 11 meV/atom below the next structure.

Entry P
A plane-wave DFT calculation with PBE was carried out for NaSr4Ca2 after structural relaxation.

## Properties
Space group: C2/m (12)
Spin magnetization (μB per formula unit): 0.0

```
NaSr4Ca2
1.0
4.004 0.000 0.000
0.000 10.043 0.188
-2.002 -4.510 8.548
Na Sr Ca
1 4 2
Cartesian
0.000 0.000 0.000 Na
2.002 -0.913 7.263 Sr
0.000 6.445 1.472 Sr
2.002 2.812 2.474 Sr
0.000 2.721 6.261 Sr
2.002 6.111 4.942 Ca
0.000 -0.578 3.794 Ca
```

Entry Q
A plane-wave DFT calculation with PBE was carried out for NaSr4Ca2 after structural relaxation.

## Properties
Space group: R-3m (166)
Spin magnetization (μB per formula unit): 0.0

```
NaSr4Ca2
1.0
4.122 0.000 0.388
2.043 3.580 0.388
-0.119 -0.069 23.358
Na Sr Ca
1 4 2
Cartesian
0.000 0.000 0.000 Na
2.239 1.301 20.389 Sr
0.512 0.297 16.655 Sr
3.806 2.210 3.745 Sr
5.533 3.214 7.478 Sr
1.113 0.647 10.263 Ca
4.932 2.864 13.871 Ca
```

So which one is most stable? That would be entry Q, about 30 meV/atom below the next structure.

Entry P
A plane-wave DFT calculation with PBE was carried out for NaSr2CaZn after structural relaxation.

## Properties
Space group: P4/mmm (123)
Spin magnetization (μB per formula unit): 0.0

```
NaSr2CaZn
1.0
-3.675 2.599 -4.234
-3.830 -4.836 0.356
-3.034 2.719 4.303
Sr Zn Ca Na
2 1 1 1
Cartesian
-1.915 -2.418 0.178 Sr
-1.837 1.300 -2.117 Sr
0.000 0.000 0.000 Zn
-1.517 1.360 2.151 Ca
-5.270 0.241 0.212 Na
```

Entry Q
A plane-wave DFT calculation with PBE was carried out for NaSr2CaZn after structural relaxation.

## Properties
Space group: P4/mmm (123)
Spin magnetization (μB per formula unit): 0.0

```
NaSr2CaZn
1.0
-4.401 -3.255 3.008
2.007 -5.243 -2.737
3.563 -0.868 4.274
Sr Zn Ca Na
2 1 1 1
Cartesian
1.004 -2.622 -1.369 Sr
-2.201 -1.628 1.504 Sr
0.000 0.000 0.000 Zn
0.584 -4.683 2.272 Ca
1.781 -0.434 2.137 Na
```

So which one is most stable? That would be entry P, about 79 meV/atom below the next structure.

Entry P
A plane-wave DFT calculation with PBE was carried out for NaCaTa after structural relaxation.

## Properties
Space group: P-1 (2)
Spin magnetization (μB per formula unit): 0.0

```
NaCaTa
1.0
-10.898 3.434 2.627
-1.683 -3.452 -2.738
0.414 -1.769 2.648
Na Ca Ta
2 2 2
Cartesian
-6.726 0.635 1.593 Na
-5.441 -2.423 0.943 Na
-9.601 -1.458 2.278 Ca
-2.566 -0.330 0.258 Ca
-1.430 -3.134 -0.900 Ta
-10.736 1.345 3.436 Ta
```

Entry Q
A plane-wave DFT calculation with PBE was carried out for NaCaTa after structural relaxation.

## Properties
Space group: P-6m2 (187)
Spin magnetization (μB per formula unit): 0.0

```
NaCaTa
1.0
-4.757 0.315 3.028
1.619 -4.939 -2.210
1.446 -0.569 2.331
Na Ca Ta
1 1 1
Cartesian
-1.909 -1.721 2.448 Na
0.000 0.000 0.000 Ca
-0.506 -3.188 -0.464 Ta
```

Entry R
A plane-wave DFT calculation with PBE was carried out for NaCaTa after structural relaxation.

## Properties
Space group: Cm (8)
Spin magnetization (μB per formula unit): 0.0

```
NaCaTa
1.0
17.431 0.000 -0.023
0.799 1.946 -2.488
-0.799 1.946 2.488
Na Ca Ta
2 2 2
Cartesian
6.234 1.946 1.369 Na
10.010 1.946 -0.031 Na
3.958 1.946 -2.087 Ca
13.874 1.946 -1.523 Ca
15.491 1.946 1.847 Ta
0.744 1.946 -0.481 Ta
```

So which one is most stable? That would be entry R, about 72 meV/atom below the next structure.

Entry P
A plane-wave DFT calculation with PBE was carried out for NaCaTa after structural relaxation.

## Properties
Space group: P4/nmm (129)
Spin magnetization (μB per formula unit): 0.0

```
NaCaTa
1.0
3.864 0.000 0.000
0.000 3.864 0.000
0.000 0.000 11.791
Na Ca Ta
2 2 2
Cartesian
0.000 1.932 2.707 Na
1.932 0.000 9.084 Na
0.000 0.000 5.896 Ca
1.932 1.932 5.896 Ca
0.000 1.932 11.347 Ta
1.932 0.000 0.445 Ta
```

Entry Q
A plane-wave DFT calculation with PBE was carried out for NaCaTa after structural relaxation.

## Properties
Space group: Pnma (62)
Spin magnetization (μB per formula unit): 0.0

```
NaCaTa
1.0
-4.372 -1.607 2.879
3.014 0.203 4.690
-2.719 9.772 1.323
Na Ca Ta
4 4 4
Cartesian
-5.016 3.718 4.721 Na
-0.091 -0.310 5.048 Na
0.938 4.651 4.171 Na
-3.987 8.679 3.844 Na
-5.951 7.056 5.177 Ca
-1.015 3.032 5.497 Ca
1.873 1.312 3.715 Ca
-3.063 5.336 3.395 Ca
-1.044 2.109 2.238 Ta
-0.860 7.110 5.221 Ta
-3.033 6.259 6.654 Ta
-3.217 1.259 3.672 Ta
```

Entry R
A plane-wave DFT calculation with PBE was carried out for NaCaTa after structural relaxation.

## Properties
Space group: P-1 (2)
Spin magnetization (μB per formula unit): 0.0

```
NaCaTa
1.0
-2.118 -8.513 -3.838
3.668 2.877 -3.839
3.097 -0.618 1.063
Na Ca Ta
2 2 2
Cartesian
2.848 -1.547 -4.014 Na
1.800 -4.708 -2.599 Na
4.395 -5.136 -5.252 Ca
0.253 -1.119 -1.361 Ca
4.442 0.827 -2.054 Ta
0.206 -7.081 -4.560 Ta
```

So which one is most stable? That would be entry R, about 342 meV/atom below the next structure.

Entry P
A plane-wave DFT calculation with PBE was carried out for NaCaTa after structural relaxation.

## Properties
Space group: F-43m (216)
Spin magnetization (μB per formula unit): 4.7

```
NaCaTa
1.0
-5.332 -0.589 -0.356
-3.258 3.928 1.692
-2.793 2.899 -3.565
Na Ca Ta
1 1 1
Cartesian
-2.846 1.559 -0.557 Na
-8.537 4.678 -1.671 Ca
-5.692 3.119 -1.114 Ta
```

Entry Q
A plane-wave DFT calculation with PBE was carried out for NaCaTa after structural relaxation.

## Properties
Space group: Cm (8)
Spin magnetization (μB per formula unit): 0.0

```
NaCaTa
1.0
12.446 0.000 -0.006
4.666 2.272 -3.226
-4.666 2.272 3.226
Na Ca Ta
2 2 2
Cartesian
7.435 2.272 -1.456 Na
10.521 2.272 -3.066 Na
8.047 2.272 2.074 Ca
3.369 2.272 -0.807 Ca
10.563 2.272 0.071 Ta
4.832 2.272 2.947 Ta
```

So which one is most stable? That would be entry Q, about 988 meV/atom below the next structure.

Entry P
A plane-wave DFT calculation with PBE was carried out for NaCaTa after structural relaxation.

## Properties
Space group: P6_3/mmc (194)
Spin magnetization (μB per formula unit): 2.5

```
NaCaTa
1.0
4.816 -2.781 0.000
0.000 5.561 0.000
0.000 0.000 6.295
Na Ca Ta
2 2 2
Cartesian
0.000 0.000 0.000 Na
0.000 0.000 3.148 Na
1.605 2.781 4.722 Ca
3.211 0.000 1.574 Ca
1.605 2.781 1.574 Ta
3.211 0.000 4.722 Ta
```

Entry Q
A plane-wave DFT calculation with PBE was carried out for NaCaTa after structural relaxation.

## Properties
Space group: P6_3/mmc (194)
Spin magnetization (μB per formula unit): 4.2

```
NaCaTa
1.0
2.486 1.762 -4.561
-5.476 -0.207 0.234
-0.244 11.182 4.187
Na Ca Ta
2 2 2
Cartesian
-2.883 3.245 -0.318 Na
-0.351 9.492 0.177 Na
-0.061 2.795 1.047 Ca
-0.183 8.386 3.140 Ca
0.000 0.000 0.000 Ta
-0.122 5.591 2.093 Ta
```

Entry R
A plane-wave DFT calculation with PBE was carried out for NaCaTa after structural relaxation.

## Properties
Space group: Cmcm (63)
Spin magnetization (μB per formula unit): 0.0

```
NaCaTa
1.0
-0.303 -0.920 -4.693
1.509 -5.636 1.007
-11.277 -2.791 1.276
Na Ca Ta
4 4 4
Cartesian
-9.091 -4.386 -2.221 Na
-2.698 -5.809 -2.358 Na
-0.981 -4.961 -0.188 Na
-7.374 -3.538 -0.052 Na
-5.308 -3.450 -2.649 Ca
-10.193 -7.663 -1.509 Ca
-4.763 -5.897 0.240 Ca
0.121 -1.683 -0.900 Ca
-2.960 -2.446 -0.551 Ta
-7.845 -6.660 0.588 Ta
-7.111 -6.901 -1.858 Ta
-2.227 -2.687 -2.997 Ta
```

So which one is most stable? That would be entry R, about 612 meV/atom below the next structure.

Entry P
A plane-wave DFT calculation with PBE was carried out for NaCaTa after structural relaxation.

## Properties
Space group: P1 (1)
Spin magnetization (μB per formula unit): 0.0

```
NaCaTa
1.0
3.857 -0.003 -0.007
-0.006 16.884 0.100
1.929 -0.052 2.594
Na Ca Ta
2 2 2
Cartesian
2.424 11.710 0.789 Na
2.431 5.283 0.657 Na
0.501 8.485 0.715 Ca
0.507 2.020 0.620 Ca
4.358 14.484 0.888 Ta
2.429 16.320 0.552 Ta
```

Entry Q
A plane-wave DFT calculation with PBE was carried out for NaCaTa after structural relaxation.

## Properties
Space group: P-1 (2)
Spin magnetization (μB per formula unit): 0.0

```
NaCaTa
1.0
-5.738 6.783 -2.903
-4.006 2.394 5.185
1.960 4.422 4.124
Na Ca Ta
4 4 4
Cartesian
-5.582 11.126 6.911 Na
-6.094 9.271 2.697 Na
-2.202 2.472 -0.505 Na
-1.690 4.327 3.709 Na
0.000 0.000 0.000 Ca
-3.892 6.799 3.203 Ca
-1.889 5.602 0.610 Ca
-2.003 1.197 2.593 Ca
-2.552 8.012 6.012 Ta
-3.386 5.603 6.500 Ta
-5.232 5.587 0.393 Ta
-4.399 7.995 -0.094 Ta
```

So which one is most stable? That would be entry P, about 227 meV/atom below the next structure.

Entry P
A plane-wave DFT calculation with PBE was carried out for NaCaTb after structural relaxation.

## Properties
Space group: I4mm (107)
Spin magnetization (μB per formula unit): 0.0

```
NaCaTb
1.0
-1.712 -0.446 3.100
-2.787 -1.396 -1.740
5.638 -6.793 0.082
Na Ca Tb
1 1 1
Cartesian
-1.147 -3.430 0.928 Na
2.294 -5.222 0.516 Ca
1.131 -8.617 1.441 Tb
```

Entry Q
A plane-wave DFT calculation with PBE was carried out for NaCaTb after structural relaxation.

## Properties
Space group: P3m1 (156)
Spin magnetization (μB per formula unit): 0.0

```
NaCaTb
1.0
3.664 0.000 0.000
-1.832 3.173 0.000
0.000 0.000 9.312
Na Ca Tb
1 1 1
Cartesian
1.832 1.058 3.045 Na
0.000 2.115 6.298 Ca
0.000 0.000 9.282 Tb
```

So which one is most stable? That would be entry Q, about 23 meV/atom below the next structure.